Entry P
# PBE Li2PaSn, relaxed
# SG = R-3m, No. 166
# Total moment = 0.00 μB/cell
data_Li2PaSn
_cell_length_a 3.087
_cell_length_b 3.087
_cell_length_c 11.371
_cell_angle_alpha 82.20
_cell_angle_beta 82.20
_cell_angle_gamma 60.00
_space_group_name_H-M_alt 'P 1'
_space_group_IT_number 1
loop_
_space_group_symop_operation_xyz
'x,y,z'
loop_
_atom_site_label
_atom_site_type_symbol
_atom_site_fract_x
_atom_site_fract_y
_atom_site_fract_z
Pa1 Pa 0.000 0.000 0.000
Sn1 Sn 0.500 0.500 0.500
Li1 Li 0.094 0.094 0.718
Li2 Li 0.906 0.906 0.282

---

Entry Q
# PBE Li2PaSn, relaxed
# SG = P4/mmm, No. 123
# Total moment = 1.11 μB/cell
data_Li2PaSn
_cell_length_a 4.790
_cell_length_b 4.425
_cell_length_c 4.425
_cell_angle_alpha 90.00
_cell_angle_beta 90.00
_cell_angle_gamma 90.00
_space_group_name_H-M_alt 'P 1'
_space_group_IT_number 1
loop_
_space_group_symop_operation_xyz
'x,y,z'
loop_
_atom_site_label
_atom_site_type_symbol
_atom_site_fract_x
_atom_site_fract_y
_atom_site_fract_z
Pa1 Pa 0.500 0.500 0.500
Sn1 Sn 0.500 0.000 0.000
Li1 Li 0.000 0.000 0.500
Li2 Li 0.000 0.500 0.000

---

Preferred: entry Q; penalty for the next structure: 16 meV per atom.